First-principles (PBE) data for a relaxed AlCo2 crystal, as listed in Alexandria via LeMat-Bulk.

Its total energy is -0.2246 Ha/atom. The crystal system is orthorhombic. The calculation puts the formation enthalpy at 0 K at -0.13 eV per atom. As for the density of states at the Fermi level: 11.48 states/eV per cell.

The space group is Cmcm (No. 63) and the conventional cell measures 2.632, 12.701 and 4.221 Å, with angles of 90.00, 90.00 and 90.00 degrees. Symmetry generates all atoms from Al at (0.000, 0.215, 0.250), Co at (0.000, 0.112, 0.750) and Co at (0.000, 0.450, 0.750).

---

First-principles (PBE) data for a relaxed Tm3TlRh4 crystal, as listed in Alexandria via LeMat-Bulk.

Its total energy is -0.2357 Ha/atom. The crystal system is orthorhombic. The calculation puts the formation enthalpy at 0 K at -0.77 eV per atom. As for the density of states at the Fermi level: 3.91 states/eV per cell.

The space group is Pmmm (No. 47) and the conventional cell measures 3.518, 4.586 and 9.339 Å, with angles of 90.00, 90.00 and 90.00 degrees. Symmetry generates all atoms from Tm at (0.000, 0.000, 0.000), Tm at (0.000, 0.500, 0.259), Tl at (0.000, 0.000, 0.500), Rh at (0.500, 0.000, 0.250), Rh at (0.500, 0.500, 0.000) and Rh at (0.500, 0.500, 0.500).

---

First-principles (PBE) data for a relaxed Pu2Cu12Si7 crystal, as listed in Alexandria via LeMat-Bulk.

The energy relative to the elements, uncorrected is -0.058 eV/atom. Its total energy is -0.2047 Ha/atom. The crystal system is trigonal. As for the density of states at the Fermi level: 17.71 states/eV per cell.

The space group is P-3 (No. 147) and the conventional cell measures 11.1449, 11.1449 and 2.7067 Å, with angles of 90.00, 90.00 and 120.00 degrees. Symmetry generates all atoms from Pu at (0.3333, 0.6667, 0.2470), Cu at (0.0476, 0.4331, 0.7466), Cu at (0.0552, 0.2307, 0.2496), Si at (0.0000, 0.0000, 0.0000) and Si at (0.1486, 0.7376, 0.7493).

---

First-principles (PBE) data for a relaxed BaCr4 crystal, as listed in Alexandria via LeMat-Bulk.

Its total energy is -0.2044 Ha/atom. The crystal system is cubic. The calculation puts the formation enthalpy at 0 K at 2.52 eV per atom. As for the density of states at the Fermi level: 2.84 states/eV per cell. The calculation puts the polymorph energy (0 for the lowest one) at 1797 meV/atom.

The space group is Pm-3m (No. 221) and the conventional cell measures 5.034, 5.034 and 5.034 Å, with angles of 90.00, 90.00 and 90.00 degrees. Symmetry generates all atoms from Ba at (0.000, 0.000, 0.000), Cr at (0.000, 0.000, 0.500) and Cr at (0.500, 0.500, 0.500).

---

First-principles (PBE) data for a relaxed Te2OsAuN crystal, as listed in Alexandria via LeMat-Bulk.

The energy relative to the elements, uncorrected is 1.746 eV/atom. Its total energy is -0.1498 Ha/atom. The crystal system is tetragonal. As for the density of states at the Fermi level: 5.82 states/eV per cell. The calculation puts the polymorph energy (0 for the lowest one) at 1305 meV/atom.

The space group is P4/mmm (No. 123) and the conventional cell measures 5.475, 5.475 and 3.667 Å, with angles of 90.00, 90.00 and 90.00 degrees. Symmetry generates all atoms from Te at (0.000, 0.500, 0.000), Os at (0.000, 0.000, 0.500), Au at (0.500, 0.500, 0.000) and N at (0.500, 0.500, 0.500).

---

First-principles (PBE) data for a relaxed ZnTcO4 crystal, as listed in Alexandria via LeMat-Bulk.

The energy relative to the elements, uncorrected is -1.286 eV/atom. Its total energy is -0.2400 Ha/atom. The crystal system is tetragonal. As for the density of states at the Fermi level: 5.53 states/eV per cell. The calculation puts the polymorph energy (0 for the lowest one) at 0 meV/atom.

The space group is I-4 (No. 82) and the conventional cell measures 5.415, 5.415 and 8.642 Å, with angles of 90.00, 90.00 and 90.00 degrees. Symmetry generates all atoms from Zn at (0.000, 0.000, 0.000), Tc at (0.000, 0.500, 0.250) and O at (0.131, 0.269, 0.127).

---

First-principles (PBE) data for a relaxed K2BeSbO crystal, as listed in Alexandria via LeMat-Bulk.

The energy relative to the elements, uncorrected is -0.812 eV/atom. Its total energy is -0.1401 Ha/atom. The crystal system is tetragonal. As for the density of states at the Fermi level: 2.24 states/eV per cell.

The space group is P4/mmm (No. 123) and the conventional cell measures 6.601, 6.601 and 3.026 Å, with angles of 90.00, 90.00 and 90.00 degrees. Symmetry generates all atoms from K at (0.000, 0.500, 0.000), Be at (0.000, 0.000, 0.000), Sb at (0.500, 0.500, 0.500) and O at (0.000, 0.000, 0.500).

---

First-principles (PBE) data for a relaxed LaHoEr5 crystal, as listed in Alexandria via LeMat-Bulk.

Its total energy is -0.1632 Ha/atom. The crystal system is orthorhombic. The calculation puts the formation enthalpy at 0 K at 0.18 eV per atom. As for the density of states at the Fermi level: 43.87 states/eV per cell. The calculation puts the polymorph energy (0 for the lowest one) at 0 meV/atom.

The space group is Imma (No. 74) and the conventional cell measures 7.069, 11.427 and 11.412 Å, with angles of 90.00, 90.00 and 90.00 degrees. Symmetry generates all atoms from La at (0.250, 0.250, 0.250), Ho at (0.000, 0.250, 0.539), Er at (0.000, 0.038, 0.750), Er at (0.000, 0.250, 0.961) and Er at (0.250, 0.000, 0.000).

---

First-principles (PBE) data for a relaxed RbHoTe crystal, as listed in Alexandria via LeMat-Bulk.

The energy relative to the elements, uncorrected is -0.712 eV/atom. Its total energy is -0.1326 Ha/atom. The crystal system is tetragonal. As for the density of states at the Fermi level: 4.87 states/eV per cell.

The space group is P4/nmm (No. 129, origin choice 2) and the conventional cell measures 4.770, 4.770 and 10.146 Å, with angles of 90.00, 90.00 and 90.00 degrees. Symmetry generates all atoms from Rb at (0.250, 0.250, 0.148), Ho at (0.250, 0.750, 0.500) and Te at (0.250, 0.250, 0.712).

---

First-principles (PBE) data for a relaxed BaScCoCl2 crystal, as listed in Alexandria via LeMat-Bulk.

The energy relative to the elements, uncorrected is 0.207 eV/atom. Its total energy is -0.1324 Ha/atom. The crystal system is tetragonal. As for the density of states at the Fermi level: 3.39 states/eV per cell.

The space group is P4/mmm (No. 123) and the conventional cell measures 5.669, 5.669 and 8.895 Å, with angles of 90.00, 90.00 and 90.00 degrees. Symmetry generates all atoms from Ba at (0.000, 0.000, 0.000), Sc at (0.000, 0.000, 0.500), Co at (0.500, 0.500, 0.500) and Cl at (0.000, 0.500, 0.000).

---

First-principles (PBE) data for a relaxed LiGa2Si2 crystal, as listed in Alexandria via LeMat-Bulk.

The energy relative to the elements, uncorrected is 0.017 eV/atom. Its total energy is -0.1376 Ha/atom. The crystal system is tetragonal. As for the density of states at the Fermi level: 2.67 states/eV per cell. The calculation puts the polymorph energy (0 for the lowest one) at 0 meV/atom.

The space group is I4/mmm (No. 139) and the conventional cell measures 4.451, 4.451 and 9.653 Å, with angles of 90.00, 90.00 and 90.00 degrees. Symmetry generates all atoms from Li at (0.000, 0.000, 0.000), Ga at (0.000, 0.500, 0.250) and Si at (0.000, 0.000, 0.379).

---

First-principles (PBE) data for a relaxed TiSeBr2F crystal, as listed in Alexandria via LeMat-Bulk.

The energy relative to the elements, uncorrected is 0.131 eV/atom. Its total energy is -0.1172 Ha/atom. The crystal system is tetragonal. As for the density of states at the Fermi level: 5.98 states/eV per cell. The calculation puts the polymorph energy (0 for the lowest one) at 769 meV/atom.

The space group is P4/mmm (No. 123) and the conventional cell measures 5.326, 5.326 and 3.954 Å, with angles of 90.00, 90.00 and 90.00 degrees. Symmetry generates all atoms from Ti at (0.000, 0.000, 0.000), Se at (0.500, 0.500, 0.000), Br at (0.000, 0.500, 0.500) and F at (0.500, 0.500, 0.500).